Material: La4Cu4Se3SO4
Method: DFT, GGA-PBEsol
State: relaxed

The structure in CIF format:
```
data_La4Cu4Se3SO4
_chemical_formula_sum 'La4 Cu4 Se3 S1 O4'
_cell_length_a 5.6507
_cell_length_b 5.6507
_cell_length_c 8.5416
_cell_angle_alpha 90.00
_cell_angle_beta 90.00
_cell_angle_gamma 90.00
_space_group_name_H-M_alt 'P 4 m m'
_space_group_IT_number 99
_space_group_name_Hall 'P 4 -2'
loop_
_atom_site_label
_atom_site_type_symbol
_atom_site_fract_x
_atom_site_fract_y
_atom_site_fract_z
La1 La 0.0000 0.0000 0.0000
La2 La 0.0000 0.5000 0.7096
La3 La 0.5000 0.5000 0.9988
Cu1 Cu 0.2619 0.2619 0.3639
Se1 Se 0.0000 0.0000 0.5209
Se2 Se 0.0000 0.5000 0.1898
S1 S 0.5000 0.5000 0.5250
O1 O 0.2501 0.2501 0.8545
```

Output
Magnetization ... 0.00 μB per formula unit
N(E_F) ... 0.000 states/eV/f.u.
Uncorrected energy ... -6.78 eV/atom